No. 1
A relaxed LaPm2HoTm4 crystal. Source: the Alexandria database, functional PBE.

Calculated values
The calculated formation energy comes out at 0.02 eV per atom. The size of the total moment is 0.00 μB per formula unit. The density is 8.23 Mg/m³. For the volume, the calculation gives 512.1 Å³ per cell. Its space-group type is P2/m (10).

```
16
Lattice="-2.9056 6.2509 -2.0204 -9.0502 -1.6028 8.1043 11.9878 -2.4413 0.7471" Properties=species:S:1:pos:R:3 pbc="T T T"
La 0.0157 1.1029 3.4160
La 0.0011 0.0009 0.0005
Pm -10.5027 1.5230 7.0937
Pm -4.5098 0.3014 7.4673
Pm 3.0880 5.0299 -1.6466
Pm -5.9775 2.3244 3.0423
Ho 7.4628 -3.2425 4.7990
Ho -1.4371 4.2284 2.4050
Tm -7.5002 0.3742 5.5545
Tm 1.5648 3.0889 0.8917
Tm -1.5328 -0.8817 5.9398
Tm 7.5316 1.8323 1.2754
Tm 3.0431 1.0371 5.2974
Tm -2.9956 2.2634 4.9238
Tm 3.0282 -0.0563 1.9082
Tm 8.9767 -1.2721 2.2802
```



No. 2
A relaxed La2Pm3Ho6Tm crystal. Source: the Alexandria database, functional PBE.

Calculated values
The calculated formation energy comes out at 0.02 eV per atom. The size of the total moment is 0.00 μB per formula unit. The density is 7.94 Mg/m³. For the volume, the calculation gives 391.6 Å³ per cell. Its space-group type is C2/m (12).

```
12
Lattice="-1.7293 -0.1884 -5.9803 -3.5723 -2.6524 4.3582 -4.0261 10.9685 1.8963" Properties=species:S:1:pos:R:3 pbc="T T T"
La -2.9573 -1.8301 0.9081
La -2.3443 -1.0107 -2.5303
Pm -5.2779 3.2429 3.5817
Pm -4.0498 4.8848 -3.3075
Pm -4.6639 4.0639 0.1371
Ho -6.6868 6.4932 -1.5129
Ho -4.9985 0.6210 -0.7431
Ho -2.6409 1.6345 1.7871
Ho -7.2987 5.6751 1.9197
Ho -4.3292 7.5067 1.0173
Ho -2.0290 2.4526 -1.6455
Tm 0.0000 0.0000 0.0000
```



Results for total DFT energy (no corrections): -73.4, -55.8 (in eV for the cell shown, following the order of the records).